# MgZrIr2

An optimized crystal structure of MgZrIr2 (GGA-PBE, the Alexandria database).

Summary:
space-group type = No. 123
M_tot = 0.00 Bohr magnetons per cell
raw total energy = -7.675 eV per atom
DFT formation energy = -0.709 eV per atom
mass density = 12.5 Mg/m³

Geometry as extended XYZ:
```
4
Lattice="4.450 0.000 0.000 0.000 4.450 0.000 0.000 0.000 3.357" Properties=species:S:1:pos:R:3 pbc="T T T"
Mg 0.000 0.000 0.000
Zr 2.225 2.225 0.000
Ir 0.000 2.225 1.678
Ir 2.225 0.000 1.678
```


# PmGaGePd

An optimized crystal structure of PmGaGePd (GGA-PBE, the Alexandria database).

Summary:
energy above the lowest structure with this stoichiometry = 156 meV/atom
space-group type = No. 216
M_tot = 0.00 Bohr magnetons per cell
raw total energy = -4.922 eV per atom
DFT formation energy = -0.525 eV per atom
mass density = 8.2 Mg/m³

Geometry as extended XYZ:
```
16
Lattice="6.843 0.000 0.000 0.000 6.843 0.000 0.000 0.000 6.843" Properties=species:S:1:pos:R:3 pbc="T T T"
Pm 0.000 0.000 0.000
Pm 0.000 3.421 3.421
Pm 3.421 0.000 3.421
Pm 3.421 3.421 0.000
Ga 1.711 1.711 5.132
Ga 1.711 5.132 1.711
Ga 5.132 1.711 1.711
Ga 5.132 5.132 5.132
Ge 0.000 0.000 3.421
Ge 0.000 3.421 0.000
Ge 3.421 0.000 0.000
Ge 3.421 3.421 3.421
Pd 1.711 1.711 1.711
Pd 1.711 5.132 5.132
Pd 5.132 1.711 5.132
Pd 5.132 5.132 1.711
```


# MgSi

An optimized crystal structure of MgSi (GGA-PBE, the Alexandria database).

Summary:
space-group type = No. 194
M_tot = 0.00 Bohr magnetons per cell
raw total energy = -3.333 eV per atom
mass density = 2.3 Mg/m³

Geometry as extended XYZ:
```
12
Lattice="8.468 0.000 0.000 -4.234 7.334 0.000 0.000 0.000 3.717" Properties=species:S:1:pos:R:3 pbc="T T T"
Mg 0.000 2.417 0.929
Mg -2.141 6.125 0.929
Mg 2.093 1.208 2.788
Mg 2.141 6.125 0.929
Mg 6.375 1.208 2.788
Mg 4.234 4.917 2.788
Si -1.376 4.095 2.788
Si 1.376 4.095 2.788
Si 0.000 6.478 2.788
Si 4.234 0.856 0.929
Si 2.859 3.239 0.929
Si 5.610 3.239 0.929
```


# Cd8GaSn2

An optimized crystal structure of Cd8GaSn2 (GGA-PBE, the Alexandria database).

Summary:
space-group type = No. 12
M_tot = 0.00 Bohr magnetons per cell
raw total energy = -1.577 eV per atom
DFT formation energy = 0.092 eV per atom
mass density = 7.3 Mg/m³

Geometry as extended XYZ:
```
11
Lattice="3.801 -7.808 0.000 3.801 7.808 0.000 -1.614 0.000 4.628" Properties=species:S:1:pos:R:3 pbc="T T T"
Cd 0.583 1.571 2.874
Cd 3.801 4.819 0.000
Cd 0.583 -1.571 2.874
Cd 2.652 0.000 0.906
Cd 3.337 0.000 3.723
Cd 5.406 1.571 1.755
Cd 3.801 -4.819 0.000
Cd 5.406 -1.571 1.755
Ga 0.000 0.000 0.000
Sn 2.994 3.181 2.314
Sn 2.994 -3.181 2.314
```


# MgBeTe2

An optimized crystal structure of MgBeTe2 (GGA-PBE, the Alexandria database).

Summary:
energy above the lowest structure with this stoichiometry = 824 meV/atom
space-group type = No. 123
M_tot = 0.00 Bohr magnetons per cell
raw total energy = -2.651 eV per atom
mass density = 5.4 Mg/m³

Geometry as extended XYZ:
```
4
Lattice="3.506 0.000 0.000 0.000 3.506 0.000 0.000 0.000 7.266" Properties=species:S:1:pos:R:3 pbc="T T T"
Mg 0.000 0.000 0.000
Be 0.000 0.000 3.633
Te 1.753 1.753 1.957
Te 1.753 1.753 5.309
```


# KRe2Sb

An optimized crystal structure of KRe2Sb (GGA-PBE, the Alexandria database).

Summary:
space-group type = No. 12
M_tot = 0.05 Bohr magnetons per cell
raw total energy = -6.157 eV per atom
mass density = 11.0 Mg/m³

Geometry as extended XYZ:
```
8
Lattice="5.825 0.000 0.000 0.000 11.074 0.000 -1.031 0.000 2.488" Properties=species:S:1:pos:R:3 pbc="T T T"
K 0.000 0.000 0.000
K 2.913 5.537 0.000
Re 1.456 2.769 0.000
Re 1.456 8.306 0.000
Re 4.369 2.769 0.000
Re 4.369 8.306 0.000
Sb 0.000 5.537 0.000
Sb 2.913 0.000 0.000
```


# PaVReSi2

An optimized crystal structure of PaVReSi2 (GGA-PBE, the Alexandria database).

Summary:
space-group type = No. 119
M_tot = 0.35 Bohr magnetons per cell
raw total energy = -8.874 eV per atom
mass density = 10.3 Mg/m³

Geometry as extended XYZ:
```
10
Lattice="3.968 0.000 0.000 0.000 3.968 0.000 0.000 0.000 10.689" Properties=species:S:1:pos:R:3 pbc="T T T"
Pa 0.000 0.000 0.000
Pa 1.984 1.984 5.344
V 0.000 1.984 8.016
V 1.984 0.000 2.672
Re 0.000 1.984 2.672
Re 1.984 0.000 8.016
Si 0.000 0.000 4.151
Si 0.000 0.000 6.538
Si 1.984 1.984 1.194
Si 1.984 1.984 9.495
```


# NbRe2F

An optimized crystal structure of NbRe2F (GGA-PBE, the Alexandria database).

Summary:
energy above the lowest structure with this stoichiometry = 240 meV/atom
space-group type = No. 225
M_tot = 0.00 Bohr magnetons per cell
raw total energy = -8.640 eV per atom
mass density = 13.2 Mg/m³

Geometry as extended XYZ:
```
16
Lattice="6.251 0.000 0.000 0.000 6.251 0.000 0.000 0.000 6.251" Properties=species:S:1:pos:R:3 pbc="T T T"
Nb 0.000 0.000 0.000
Nb 0.000 3.125 3.125
Nb 3.125 0.000 3.125
Nb 3.125 3.125 0.000
Re 1.563 1.563 1.563
Re 1.563 1.563 4.688
Re 1.563 4.688 1.563
Re 1.563 4.688 4.688
Re 4.688 1.563 1.563
Re 4.688 1.563 4.688
Re 4.688 4.688 1.563
Re 4.688 4.688 4.688
F 0.000 0.000 3.125
F 0.000 3.125 0.000
F 3.125 0.000 0.000
F 3.125 3.125 3.125
```